(i)
# Cs3KH4 PBE optimized geometry
data_Cs3KH4
_symmetry_space_group_name_H-M 'C m m m'
_symmetry_Int_Tables_number 65
_symmetry_space_group_name_Hall '-C 2 2'
_cell_length_a 8.807
_cell_length_b 12.429
_cell_length_c 4.374
_cell_angle_alpha 90.00
_cell_angle_beta 90.00
_cell_angle_gamma 90.00
loop_
_atom_site_label
_atom_site_type_symbol
_atom_site_fract_x
_atom_site_fract_y
_atom_site_fract_z
_atom_site_occupancy
Cs1 Cs 0.000 0.000 0.000 1
Cs2 Cs 0.250 0.250 0.500 1
K1 K 0.000 0.500 0.000 1
H1 H 0.000 0.259 0.000 1
H2 H 0.234 0.500 0.500 1
# * magnetization: 0.000 μB per atom
# * D(E_F): 0.000 states/eV per atom


(ii)
# Cs3KH4 PBE optimized geometry
data_Cs3KH4
_symmetry_space_group_name_H-M 'P m -3 m'
_symmetry_Int_Tables_number 221
_symmetry_space_group_name_Hall '-P 4 2 3'
_cell_length_a 6.237
_cell_length_b 6.237
_cell_length_c 6.237
_cell_angle_alpha 90.00
_cell_angle_beta 90.00
_cell_angle_gamma 90.00
loop_
_atom_site_label
_atom_site_type_symbol
_atom_site_fract_x
_atom_site_fract_y
_atom_site_fract_z
_atom_site_occupancy
Cs1 Cs 0.000 0.000 0.500 1
K1 K 0.500 0.500 0.500 1
H1 H 0.000 0.000 0.000 1
H2 H 0.000 0.500 0.500 1
# * magnetization: 0.000 μB per atom
# * D(E_F): 0.000 states/eV per atom


Q: Which of them is the least stable? A: (ii).


(i)
# CsK2NaH PBE optimized geometry
data_CsK2NaH
_symmetry_space_group_name_H-M 'P 4/m m m'
_symmetry_Int_Tables_number 123
_symmetry_space_group_name_Hall '-P 4 2'
_cell_length_a 5.821
_cell_length_b 5.821
_cell_length_c 7.235
_cell_angle_alpha 90.00
_cell_angle_beta 90.00
_cell_angle_gamma 90.00
loop_
_atom_site_label
_atom_site_type_symbol
_atom_site_fract_x
_atom_site_fract_y
_atom_site_fract_z
_atom_site_occupancy
Cs1 Cs 0.000 0.000 0.000 1
K1 K 0.000 0.500 0.500 1
Na1 Na 0.500 0.500 0.000 1
H1 H 0.500 0.500 0.500 1
# * magnetization: 0.149 μB per atom
# * D(E_F): 0.558 states/eV per atom


(ii)
# CsK2NaH PBE optimized geometry
data_CsK2NaH
_symmetry_space_group_name_H-M 'P 4/m m m'
_symmetry_Int_Tables_number 123
_symmetry_space_group_name_Hall '-P 4 2'
_cell_length_a 5.927
_cell_length_b 5.927
_cell_length_c 6.675
_cell_angle_alpha 90.00
_cell_angle_beta 90.00
_cell_angle_gamma 90.00
loop_
_atom_site_label
_atom_site_type_symbol
_atom_site_fract_x
_atom_site_fract_y
_atom_site_fract_z
_atom_site_occupancy
Cs1 Cs 0.000 0.000 0.000 1
K1 K 0.000 0.500 0.500 1
Na1 Na 0.500 0.500 0.000 1
H1 H 0.000 0.000 0.500 1
# * magnetization: 0.000 μB per atom
# * D(E_F): 0.577 states/eV per atom


Q: Which of them is the least stable? A: (i).


(i)
# Cs2KHPb PBE optimized geometry
data_Cs2KHPb
_symmetry_space_group_name_H-M 'P 4/m m m'
_symmetry_Int_Tables_number 123
_symmetry_space_group_name_Hall '-P 4 2'
_cell_length_a 6.330
_cell_length_b 6.330
_cell_length_c 5.325
_cell_angle_alpha 90.00
_cell_angle_beta 90.00
_cell_angle_gamma 90.00
loop_
_atom_site_label
_atom_site_type_symbol
_atom_site_fract_x
_atom_site_fract_y
_atom_site_fract_z
_atom_site_occupancy
Cs1 Cs 0.000 0.500 0.000 1
K1 K 0.000 0.000 0.500 1
H1 H 0.000 0.000 0.000 1
Pb1 Pb 0.500 0.500 0.500 1
# * magnetization: 0.225 μB per atom
# * D(E_F): 0.831 states/eV per atom


(ii)
# Cs2KHPb PBE optimized geometry
data_Cs2KHPb
_symmetry_space_group_name_H-M 'P 4/m m m'
_symmetry_Int_Tables_number 123
_symmetry_space_group_name_Hall '-P 4 2'
_cell_length_a 6.414
_cell_length_b 6.414
_cell_length_c 5.179
_cell_angle_alpha 90.00
_cell_angle_beta 90.00
_cell_angle_gamma 90.00
loop_
_atom_site_label
_atom_site_type_symbol
_atom_site_fract_x
_atom_site_fract_y
_atom_site_fract_z
_atom_site_occupancy
Cs1 Cs 0.000 0.500 0.000 1
K1 K 0.000 0.000 0.500 1
H1 H 0.500 0.500 0.000 1
Pb1 Pb 0.500 0.500 0.500 1
# * magnetization: 0.000 μB per atom
# * D(E_F): 0.461 states/eV per atom


Q: Which of them is the least stable? A: (ii).


(i)
# Cs2KRbH PBE optimized geometry
data_Cs2KRbH
_symmetry_space_group_name_H-M 'P 4/m m m'
_symmetry_Int_Tables_number 123
_symmetry_space_group_name_Hall '-P 4 2'
_cell_length_a 6.585
_cell_length_b 6.585
_cell_length_c 7.371
_cell_angle_alpha 90.00
_cell_angle_beta 90.00
_cell_angle_gamma 90.00
loop_
_atom_site_label
_atom_site_type_symbol
_atom_site_fract_x
_atom_site_fract_y
_atom_site_fract_z
_atom_site_occupancy
Cs1 Cs 0.000 0.500 0.000 1
K1 K 0.000 0.000 0.500 1
Rb1 Rb 0.500 0.500 0.500 1
H1 H 0.000 0.000 0.000 1
# * magnetization: 0.073 μB per atom
# * D(E_F): 0.786 states/eV per atom


(ii)
# Cs2KRbH PBE optimized geometry
data_Cs2KRbH
_symmetry_space_group_name_H-M 'P 4/m m m'
_symmetry_Int_Tables_number 123
_symmetry_space_group_name_Hall '-P 4 2'
_cell_length_a 6.732
_cell_length_b 6.732
_cell_length_c 6.943
_cell_angle_alpha 90.00
_cell_angle_beta 90.00
_cell_angle_gamma 90.00
loop_
_atom_site_label
_atom_site_type_symbol
_atom_site_fract_x
_atom_site_fract_y
_atom_site_fract_z
_atom_site_occupancy
Cs1 Cs 0.000 0.500 0.000 1
K1 K 0.000 0.000 0.500 1
Rb1 Rb 0.500 0.500 0.500 1
H1 H 0.500 0.500 0.000 1
# * magnetization: 0.004 μB per atom
# * D(E_F): 0.824 states/eV per atom


Q: Which of them is the least stable? A: (i).


(i)
# Cs2KTlH PBE optimized geometry
data_Cs2KTlH
_symmetry_space_group_name_H-M 'P 4/m m m'
_symmetry_Int_Tables_number 123
_symmetry_space_group_name_Hall '-P 4 2'
_cell_length_a 6.261
_cell_length_b 6.261
_cell_length_c 5.930
_cell_angle_alpha 90.00
_cell_angle_beta 90.00
_cell_angle_gamma 90.00
loop_
_atom_site_label
_atom_site_type_symbol
_atom_site_fract_x
_atom_site_fract_y
_atom_site_fract_z
_atom_site_occupancy
Cs1 Cs 0.000 0.500 0.000 1
K1 K 0.000 0.000 0.500 1
Tl1 Tl 0.500 0.500 0.500 1
H1 H 0.500 0.500 0.000 1
# * magnetization: 0.100 μB per atom
# * D(E_F): 0.621 states/eV per atom


(ii)
# Cs2KTlH PBE optimized geometry
data_Cs2KTlH
_symmetry_space_group_name_H-M 'P 4/m m m'
_symmetry_Int_Tables_number 123
_symmetry_space_group_name_Hall '-P 4 2'
_cell_length_a 6.248
_cell_length_b 6.248
_cell_length_c 5.698
_cell_angle_alpha 90.00
_cell_angle_beta 90.00
_cell_angle_gamma 90.00
loop_
_atom_site_label
_atom_site_type_symbol
_atom_site_fract_x
_atom_site_fract_y
_atom_site_fract_z
_atom_site_occupancy
Cs1 Cs 0.000 0.500 0.000 1
K1 K 0.000 0.000 0.500 1
Tl1 Tl 0.500 0.500 0.500 1
H1 H 0.000 0.000 0.000 1
# * magnetization: 0.000 μB per atom
# * D(E_F): 0.933 states/eV per atom


Q: Which of them is the least stable? A: (i).